Record 1
## NaPaPd2Se4 (PBE)

Data for crystalline NaPaPd2Se4 at its relaxed geometry.

POSCAR file:
```
NaPaPd2Se4
1.0
7.1034 0.0000 0.0000
3.5517 5.0331 -0.0627
3.5517 0.3500 5.0213
Na Pa Pd Se
1 1 2 4
Cartesian
7.1034 2.6915 2.4793 Na
0.0000 0.0000 0.0000 Pa
3.5517 1.6348 1.5059 Pd
10.6551 3.7483 3.4527 Pd
8.6927 5.1313 2.6413 Se
8.6927 0.2518 2.3173 Se
5.5141 3.0530 4.8976 Se
5.5141 2.3301 0.0610 Se
```

D(E_F) ... 0.3552 states/eV/atom
Energy relative to the elements, uncorrected ... -570 kJ/mol of formula units
Theoretical density ... 7.23 g cm⁻³

***

Record 2
## Tb4CeTm2 (PBE)

Data for crystalline Tb4CeTm2 at its relaxed geometry.

POSCAR file:
```
Tb4CeTm2
1.0
-3.7699 3.5556 2.8408
-4.3338 -1.2758 -4.1543
0.1998 -4.2986 5.6453
Tb Ce Tm
4 1 2
Cartesian
-4.5898 -0.2100 0.3189 Tb
-3.3409 -3.5841 0.0523 Tb
-3.3141 -1.8089 4.0129 Tb
-0.7931 -1.9904 1.4386 Tb
-2.1669 -0.6379 -2.0772 Ce
-2.3308 0.6590 2.2291 Tm
-5.5731 -2.6779 2.1027 Tm
```

Polymorph energy (0 for the lowest one) ... 506 meV per atom
D(E_F) ... 2.2636 states/eV/atom
Theoretical density ... 7.97 g cm⁻³
DFT formation energy ... 0.55 eV/atom

***

Record 3
## LaSmTl (PBE)

Data for crystalline LaSmTl at its relaxed geometry.

POSCAR file:
```
LaSmTl
1.0
5.7886 3.9897 4.9043
2.9533 6.3799 4.9043
2.9533 3.5032 7.2445
Sm La Tl
1 1 1
Cartesian
10.4336 12.3762 15.2135 Sm
1.2632 1.4984 1.8419 La
3.8602 4.5790 5.6287 Tl
```

Polymorph energy (0 for the lowest one) ... 151 meV per atom
D(E_F) ... 1.1203 states/eV/atom
Theoretical density ... 8.29 g cm⁻³
DFT formation energy ... -0.13 eV/atom

***

> D(E_F) of number 2 (Tb4CeTm2)?

2.2636 states/eV/atom